Material: LiCo2Cu
Method: DFT, PBE
State: relaxed

```
data_LiCo2Cu
_space_group_name_H-M_alt 'P 4 m m'
_space_group_IT_number 99
_cell_length_a 2.534
_cell_length_b 2.534
_cell_length_c 7.412
_cell_angle_alpha 90.00
_cell_angle_beta 90.00
_cell_angle_gamma 90.00
loop_
_space_group_symop_operation_xyz
'x,y,z'
'-y,x,z'
'-x,-y,z'
'y,-x,z'
'-x,y,z'
'y,x,z'
'x,-y,z'
'-y,-x,z'
loop_
_atom_site_label
_atom_site_type_symbol
_atom_site_fract_x
_atom_site_fract_y
_atom_site_fract_z
Li1 Li 0.000 0.000 0.000
Co1 Co 0.000 0.000 0.484
Co2 Co 0.500 0.500 0.270
Cu1 Cu 0.500 0.500 0.731
```

The raw total energy comes out at -4.94 eV/atom. The calculation puts the density of states at the Fermi level at 0.86 states/eV per atom. The volume comes out at 11.90 A^3/atom. The calculation puts the formation enthalpy at 0 K at 0.11 eV per atom.


Material: Ba2AcSnSe4
Method: DFT, PBE
State: relaxed

```
data_Ba2AcSnSe4
_space_group_name_H-M_alt 'I m m a'
_space_group_IT_number 74
_space_group_name_Hall '-I 2b 2'
_cell_length_a 9.048
_cell_length_b 9.196
_cell_length_c 12.878
_cell_angle_alpha 90.00
_cell_angle_beta 90.00
_cell_angle_gamma 90.00
loop_
_atom_site_label
_atom_site_type_symbol
_atom_site_fract_x
_atom_site_fract_y
_atom_site_fract_z
Ba1 Ba 0.000 0.000 0.000
Ba2 Ba 0.250 0.250 0.250
Ac1 Ac 0.250 0.250 0.750
Sn1 Sn 0.000 0.000 0.500
Se1 Se 0.000 0.011 0.742
Se2 Se 0.234 0.250 0.507
```

The raw total energy comes out at -4.80 eV/atom. Its uncorrected formation energy is -12.5 eV/f.u. The calculation puts the density of states at the Fermi level at 0.36 states/eV per atom. The volume comes out at 33.49 A^3/atom.


Material: CdBPtRh2
Method: DFT, PBE
State: relaxed

```
data_CdBPtRh2
_space_group_name_H-M_alt 'P 4/m m m'
_space_group_IT_number 123
_space_group_name_Hall '-P 4 2'
_cell_length_a 4.175
_cell_length_b 4.175
_cell_length_c 4.180
_cell_angle_alpha 90.00
_cell_angle_beta 90.00
_cell_angle_gamma 90.00
loop_
_atom_site_label
_atom_site_type_symbol
_atom_site_fract_x
_atom_site_fract_y
_atom_site_fract_z
Cd1 Cd 0.000 0.000 0.000
B1 B 0.500 0.500 0.500
Pt1 Pt 0.500 0.500 0.000
Rh1 Rh 0.000 0.500 0.500
```

The raw total energy comes out at -5.93 eV/atom. The calculation puts the density of states at the Fermi level at 0.94 states/eV per atom. The volume comes out at 14.57 A^3/atom. The calculation puts the formation enthalpy at 0 K at -0.26 eV per atom.